{
  "formula": "GaSi2ClF",
  "functional": "GGA-PBE",
  "state": "optimized geometry",
  "magmom_total_mub_per_fu": 1.19,
  "formation_energy_uncorrected_mev_per_atom": 174,
  "lattice": [[4.273, 0.000, 0.000], [0.000, 4.273, 0.000], [0.000, 0.000, 6.628]],
  "species": ["Ga", "Si", "Si", "Cl", "F"],
  "frac_coords": [[0.000, 0.000, 0.000], [0.000, 0.500, 0.500], [0.500, 0.000, 0.500], [0.500, 0.500, 0.000], [0.000, 0.000, 0.500]]
}

***

{
  "formula": "CeSi2S6",
  "functional": "GGA-PBE",
  "state": "optimized geometry",
  "magmom_total_mub_per_fu": 0.00,
  "formation_energy_uncorrected_mev_per_atom": -902,
  "lattice": [[6.292, -5.703, 0.000], [6.292, 5.703, 0.000], [-1.741, 0.000, 6.171]],
  "species": ["Ce", "Ce", "Si", "Si", "Si", "Si", "S", "S", "S", "S", "S", "S", "S", "S", "S", "S", "S", "S"],
  "frac_coords": [[0.135, 0.865, 0.750], [0.865, 0.135, 0.250], [0.224, 0.371, 0.740], [0.371, 0.224, 0.240], [0.629, 0.776, 0.760], [0.776, 0.629, 0.260], [0.051, 0.190, 0.662], [0.122, 0.592, 0.886], [0.190, 0.051, 0.162], [0.296, 0.432, 0.463], [0.408, 0.878, 0.614], [0.432, 0.296, 0.963], [0.568, 0.704, 0.037], [0.592, 0.122, 0.386], [0.704, 0.568, 0.537], [0.810, 0.949, 0.838], [0.878, 0.408, 0.114], [0.949, 0.810, 0.338]]
}

***

{
  "formula": "Pm3Dy2Tl",
  "functional": "GGA-PBE",
  "state": "optimized geometry",
  "e_tot_ev_per_atom": -4.4133,
  "magmom_total_mub_per_fu": 0.00,
  "lattice": [[2.482, -7.659, 0.000], [2.482, 7.659, 0.000], [0.000, 0.000, 4.917]],
  "species": ["Pm", "Pm", "Pm", "Dy", "Dy", "Tl"],
  "frac_coords": [[0.000, 0.000, 0.000], [0.331, 0.669, 0.000], [0.669, 0.331, 0.000], [0.163, 0.837, 0.500], [0.837, 0.163, 0.500], [0.500, 0.500, 0.500]]
}

***

{
  "formula": "Na2ReSbO6",
  "functional": "GGA-PBE",
  "state": "optimized geometry",
  "magmom_total_mub_per_fu": 0.32,
  "formation_energy_uncorrected_mev_per_atom": -1507,
  "lattice": [[5.716, 0.000, 0.000], [0.000, 5.716, 0.000], [0.000, 0.000, 4.227]],
  "species": ["Na", "Na", "Re", "Sb", "O", "O", "O", "O", "O", "O"],
  "frac_coords": [[0.000, 0.500, 0.000], [0.500, 0.000, 0.000], [0.000, 0.000, 0.549], [0.500, 0.500, 0.591], [0.000, 0.000, 0.130], [0.228, 0.228, 0.642], [0.228, 0.772, 0.642], [0.500, 0.500, 0.093], [0.772, 0.228, 0.642], [0.772, 0.772, 0.642]]
}

***

{
  "formula": "Sc2TlIr",
  "functional": "GGA-PBE",
  "state": "optimized geometry",
  "e_tot_ev_per_atom": -6.4316,
  "magmom_total_mub_per_fu": 0.00,
  "lattice": [[-1.594, 2.311, 5.804], [1.594, -2.311, 5.804], [1.594, 2.311, -5.804]],
  "species": ["Sc", "Sc", "Tl", "Ir"],
  "frac_coords": [[0.000, 0.000, 0.000], [0.707, 0.207, 0.500], [0.401, 0.401, 0.000], [0.184, 0.684, 0.500]]
}

***

{
  "formula": "Tb3SnHg5",
  "functional": "GGA-PBE",
  "state": "optimized geometry",
  "e_tot_ev_per_atom": -2.5932,
  "magmom_total_mub_per_fu": 0.00,
  "lattice": [[9.001, 0.000, 0.000], [-4.500, 7.795, 0.000], [0.000, 0.000, 6.387]],
  "species": ["Tb", "Tb", "Tb", "Tb", "Tb", "Tb", "Sn", "Sn", "Hg", "Hg", "Hg", "Hg", "Hg", "Hg", "Hg", "Hg", "Hg", "Hg"],
  "frac_coords": [[0.000, 0.327, 0.250], [0.000, 0.673, 0.750], [0.327, 0.000, 0.250], [0.327, 0.327, 0.750], [0.673, 0.000, 0.750], [0.673, 0.673, 0.250], [0.000, 0.000, 0.000], [0.000, 0.000, 0.500], [0.000, 0.343, 0.750], [0.000, 0.657, 0.250], [0.333, 0.667, 0.000], [0.333, 0.667, 0.500], [0.343, 0.000, 0.750], [0.343, 0.343, 0.250], [0.657, 0.000, 0.250], [0.657, 0.657, 0.750], [0.667, 0.333, 0.000], [0.667, 0.333, 0.500]]
}

***

{
  "formula": "BPBr3",
  "functional": "GGA-PBE",
  "state": "optimized geometry",
  "magmom_total_mub_per_fu": 0.59,
  "formation_energy_uncorrected_mev_per_atom": 1008,
  "lattice": [[4.694, 0.000, 0.000], [0.000, 4.694, 0.000], [0.000, 0.000, 4.694]],
  "species": ["B", "P", "Br", "Br", "Br"],
  "frac_coords": [[0.000, 0.000, 0.000], [0.500, 0.500, 0.500], [0.000, 0.000, 0.500], [0.000, 0.500, 0.000], [0.500, 0.000, 0.000]]
}

***

{
  "formula": "KNa2CuAs",
  "functional": "GGA-PBE",
  "state": "optimized geometry",
  "e_tot_ev_per_atom": -2.1495,
  "magmom_total_mub_per_fu": 1.00,
  "lattice": [[5.320, 0.000, 0.000], [0.000, 5.320, 0.000], [0.000, 0.000, 5.859]],
  "species": ["K", "Na", "Na", "Cu", "As"],
  "frac_coords": [[0.000, 0.000, 0.000], [0.000, 0.500, 0.500], [0.500, 0.000, 0.500], [0.000, 0.000, 0.500], [0.500, 0.500, 0.000]]
}

***

{
  "formula": "NdSm3Th2",
  "functional": "GGA-PBE",
  "state": "optimized geometry",
  "e_tot_ev_per_atom": -5.5674,
  "magmom_total_mub_per_fu": 0.00,
  "lattice": [[2.546, -7.665, 0.000], [2.546, 7.665, 0.000], [0.000, 0.000, 5.142]],
  "species": ["Nd", "Sm", "Sm", "Sm", "Th", "Th"],
  "frac_coords": [[0.000, 0.000, 0.000], [0.330, 0.670, 0.000], [0.500, 0.500, 0.500], [0.670, 0.330, 0.000], [0.169, 0.831, 0.500], [0.831, 0.169, 0.500]]
}

***

{
  "formula": "Sm6Zn5Ir",
  "functional": "GGA-PBE",
  "state": "optimized geometry",
  "e_tot_ev_per_atom": -4.0373,
  "magmom_total_mub_per_fu": 0.00,
  "lattice": [[-2.556, 3.624, 7.661], [2.556, -3.624, 7.661], [2.556, 3.624, -7.661]],
  "species": ["Sm", "Sm", "Sm", "Sm", "Sm", "Sm", "Zn", "Zn", "Zn", "Zn", "Zn", "Ir"],
  "frac_coords": [[0.082, 0.340, 0.742], [0.238, 0.000, 0.238], [0.403, 0.660, 0.742], [0.597, 0.340, 0.258], [0.762, 0.000, 0.762], [0.918, 0.660, 0.258], [0.179, 0.179, 0.000], [0.331, 0.831, 0.500], [0.500, 0.500, 0.000], [0.669, 0.169, 0.500], [0.821, 0.821, 0.000], [0.000, 0.500, 0.500]]
}

***

{
  "formula": "K2IrI",
  "functional": "GGA-PBE",
  "state": "optimized geometry",
  "magmom_total_mub_per_fu": 2.00,
  "formation_energy_uncorrected_mev_per_atom": 296,
  "lattice": [[0.000, 4.171, 4.171], [4.171, 0.000, 4.171], [4.171, 4.171, 0.000]],
  "species": ["K", "K", "Ir", "I"],
  "frac_coords": [[0.250, 0.250, 0.250], [0.750, 0.750, 0.750], [0.000, 0.000, 0.000], [0.500, 0.500, 0.500]]
}

***

{
  "formula": "Sr2CePuBi4",
  "functional": "GGA-PBE",
  "state": "optimized geometry",
  "e_tot_ev_per_atom": -5.5593,
  "magmom_total_mub_per_fu": 4.23,
  "lattice": [[8.126, 0.000, 0.000], [0.000, 4.717, 0.000], [-2.735, 0.000, 7.662]],
  "species": ["Sr", "Sr", "Ce", "Pu", "Bi", "Bi", "Bi", "Bi"],
  "frac_coords": [[0.000, 0.000, 0.000], [0.500, 0.500, 0.000], [0.000, 0.500, 0.500], [0.500, 0.000, 0.500], [0.241, 0.000, 0.723], [0.260, 0.500, 0.278], [0.740, 0.500, 0.722], [0.759, 0.000, 0.277]]
}